Ce6PuGa: relaxed, PBE.

Results
The value obtained for the energy above the most stable polymorph in this dataset is 0.0000 eV/atom. For the formation energy from the elements, the calculation gives -141 meV per atom. Its crystal system is monoclinic.

```
data_Ce6PuGa
_chemical_formula_sum 'Ce24 Pu4 Ga4'
_symmetry_space_group_name_H-M 'C 1 2/c 1'
_symmetry_Int_Tables_number 15
_cell_length_a 12.462
_cell_length_b 5.927
_cell_length_c 11.556
_cell_angle_alpha 90.00
_cell_angle_beta 101.57
_cell_angle_gamma 90.00
loop_
_symmetry_equiv_pos_as_xyz
'x,y,z'
'-x,-y,-z'
'-x,y,-z+1/2'
'x,-y,z+1/2'
'x+1/2,y+1/2,z'
'-x+1/2,-y+1/2,-z'
'-x+1/2,y+1/2,-z+1/2'
'x+1/2,-y+1/2,z+1/2'
loop_
_atom_site_label
_atom_site_fract_x
_atom_site_fract_y
_atom_site_fract_z
Ce1 0.078 0.077 0.392
Ce2 0.132 0.424 0.031
Ce3 0.224 0.081 0.686
Pu1 0.250 0.250 0.500
Ga1 0.000 0.410 0.750
```

***

SiSe: relaxed, PBE.

Results
Its crystal system is hexagonal. The formation energy without anion corrections is 173 meV per atom.

```
data_SiSe
_chemical_formula_sum 'Si2 Se2'
_symmetry_space_group_name_H-M 'P 63/m m c'
_symmetry_Int_Tables_number 194
_symmetry_space_group_name_Hall '-P 6c 2c'
_cell_length_a 3.7592
_cell_length_b 3.7592
_cell_length_c 6.8294
_cell_angle_alpha 90.00
_cell_angle_beta 90.00
_cell_angle_gamma 120.00
loop_
_atom_site_label
_atom_site_fract_x
_atom_site_fract_y
_atom_site_fract_z
Si1 0.0000 0.0000 0.0000
Se1 0.3333 0.6667 0.2500
```

***

LiTb2Sn3Te6: relaxed, PBE.

Results
Its crystal system is monoclinic. The formation energy without anion corrections is -724 meV per atom.

```
data_LiTb2Sn3Te6
_chemical_formula_sum 'Li2 Tb4 Sn6 Te12'
_symmetry_space_group_name_H-M 'C 1 2/m 1'
_symmetry_Int_Tables_number 12
_cell_length_a 19.656
_cell_length_b 4.391
_cell_length_c 9.077
_cell_angle_alpha 90.00
_cell_angle_beta 105.08
_cell_angle_gamma 90.00
loop_
_symmetry_equiv_pos_as_xyz
'x,y,z'
'-x,-y,-z'
'-x,y,-z'
'x,-y,z'
'x+1/2,y+1/2,z'
'-x+1/2,-y+1/2,-z'
'-x+1/2,y+1/2,-z'
'x+1/2,-y+1/2,z'
loop_
_atom_site_label
_atom_site_fract_x
_atom_site_fract_y
_atom_site_fract_z
Li1 0.000 0.000 0.000
Tb1 0.167 0.500 0.344
Sn1 0.000 0.000 0.500
Sn2 0.158 0.500 0.848
Te1 0.005 0.500 0.243
Te2 0.169 0.000 0.588
Te3 0.170 0.000 0.100
```

***

MgScVP2: relaxed, PBE.

Results
For the formation energy from the elements, the calculation gives 59 meV per atom. Its crystal system is tetragonal.

```
data_MgScVP2
_chemical_formula_sum 'Mg1 Sc1 V1 P2'
_symmetry_space_group_name_H-M 'P 4/m m m'
_symmetry_Int_Tables_number 123
_symmetry_space_group_name_Hall '-P 4 2'
_cell_length_a 4.516
_cell_length_b 4.516
_cell_length_c 4.756
_cell_angle_alpha 90.00
_cell_angle_beta 90.00
_cell_angle_gamma 90.00
loop_
_atom_site_label
_atom_site_fract_x
_atom_site_fract_y
_atom_site_fract_z
Mg1 0.000 0.000 0.000
Sc1 0.500 0.500 0.000
V1 0.000 0.000 0.500
P1 0.000 0.500 0.500
```